The following is a DFT calculation (PBE) of ThMgAl2Cu4 after structural relaxation.

Summary:
Energy relative to the elements: -2.0 eV per formula unit
Calculated total energy: -4.36 eV/atom

Cell and atoms, written as POSCAR:
```
ThMgAl2Cu4
1.0
4.234 0.000 0.000
2.117 3.667 0.000
2.117 1.222 8.616
Th Mg Al Cu
1 1 2 4
direct
0.000 0.000 0.000
0.500 0.500 0.500
0.760 0.760 0.721
0.240 0.240 0.279
0.401 0.401 0.796
0.874 0.874 0.379
0.126 0.126 0.621
0.599 0.599 0.204
```


The following is a DFT calculation (PBE) of Li3Dy3SbS8 after structural relaxation.

Summary:
Calculated total energy: -5.28 eV/atom
Formation energy from raw total energies: -1499 meV per atom

Cell and atoms, written as POSCAR:
```
Li3Dy3SbS8
1.0
-3.170 -6.005 -3.868
7.758 0.926 0.100
-3.771 -2.079 6.316
Li Dy Sb S
3 3 1 8
direct
0.000 0.000 0.000
0.000 0.500 0.000
0.500 0.500 0.000
0.500 0.000 0.500
0.500 0.500 0.500
0.000 0.500 0.500
0.000 0.000 0.500
0.250 0.501 0.251
0.750 0.499 0.749
0.759 0.517 0.256
0.241 0.483 0.744
0.759 0.997 0.256
0.241 0.003 0.744
0.239 0.997 0.256
0.761 0.003 0.744
```


The following is a DFT calculation (PBE) of ErTm7Sc12 after structural relaxation.

Summary:
Energy relative to the elements: 4.5 eV per formula unit
Calculated total energy: -5.37 eV/atom

Cell and atoms, written as POSCAR:
```
ErTm7Sc12
1.0
7.975 1.116 1.675
-1.146 7.971 1.675
-1.146 -1.525 8.001
Er Tm Sc
1 7 12
direct
0.000 0.000 0.000
0.841 0.607 0.943
0.393 0.057 0.159
0.057 0.159 0.393
0.500 0.500 0.500
0.943 0.841 0.607
0.607 0.943 0.841
0.159 0.393 0.057
0.852 0.274 0.727
0.726 0.273 0.148
0.623 0.133 0.494
0.867 0.506 0.377
0.273 0.148 0.726
0.506 0.377 0.867
0.494 0.623 0.133
0.727 0.852 0.274
0.133 0.494 0.623
0.377 0.867 0.506
0.274 0.727 0.852
0.148 0.726 0.273
```


The following is a DFT calculation (PBE) of ZrReRh2 after structural relaxation.

Summary:
Energy relative to the elements: -0.8 eV per formula unit
Energy above the lowest structure with this stoichiometry: 0.54 eV per formula unit
Calculated total energy: -9.13 eV/atom

Cell and atoms, written as POSCAR:
```
ZrReRh2
1.0
4.927 -0.007 -0.021
1.719 4.617 0.021
-3.310 -2.323 2.814
Re Rh Zr
1 2 1
direct
0.250 0.750 0.500
0.000 0.000 0.000
0.750 0.250 0.500
0.500 0.500 0.000
```


The following is a DFT calculation (PBE) of CsTi2CrCd after structural relaxation.

Summary:
Energy relative to the elements: 11.2 eV per formula unit
Calculated total energy: -3.19 eV/atom

Cell and atoms, written as POSCAR:
```
CsTi2CrCd
1.0
-1.110 -4.292 2.602
1.114 -3.283 -4.940
4.929 -0.428 1.396
Cs Cr Ti Cd
1 1 2 1
direct
0.000 0.500 0.000
0.500 0.500 0.500
0.000 0.000 0.500
0.500 0.000 0.000
0.000 0.000 0.000
```


The following is a DFT calculation (PBE) of BaBiBr2F after structural relaxation.

Summary:
Calculated total energy: -2.84 eV/atom
Formation energy from raw total energies: -641 meV per atom

Cell and atoms, written as POSCAR:
```
BaBiBr2F
1.0
-2.254 -1.932 -5.310
-2.017 -8.809 4.061
-5.513 2.004 1.611
F Bi Br Ba
1 1 2 1
direct
0.500 0.500 0.500
0.000 0.500 0.000
0.000 0.000 0.500
0.500 0.000 0.000
0.000 0.000 0.000
```


The following is a DFT calculation (PBE) of NdSc2Ir after structural relaxation.

Summary:
Energy relative to the elements: -2.0 eV per formula unit
Energy above the lowest structure with this stoichiometry: 0.00 eV per formula unit
Calculated total energy: -7.07 eV/atom

Cell and atoms, written as POSCAR:
```
NdSc2Ir
1.0
-2.228 1.938 -1.443
0.961 -1.089 -2.948
-5.724 -6.253 0.443
Sc Ir Nd
2 1 1
direct
0.000 0.000 0.815
0.000 0.000 0.185
0.500 0.500 0.000
0.500 0.500 0.500
```


The following is a DFT calculation (PBE) of CoSe2N after structural relaxation.

Summary:
Calculated total energy: -4.91 eV/atom
Formation energy from raw total energies: 691 meV per atom

Cell and atoms, written as POSCAR:
```
CoSe2N
1.0
-1.794 -1.241 4.586
4.729 0.001 1.851
1.003 4.430 4.403
Co Se N
2 4 2
direct
0.000 0.000 0.000
0.750 0.250 0.500
0.617 0.125 0.250
0.133 0.625 0.250
0.375 0.383 0.750
0.875 0.867 0.750
0.500 0.500 0.000
0.250 0.750 0.500
```


Question: What is the formula in the fifth record?
Answer: CsTi2CrCd